[1]
Crystalline AlCu2O at its relaxed geometry, computed with PBE.

## Properties
E_form (uncorrected), eV per atom: 0.1515
Total magnetic moment, μB per cell: 0.0
VASP energy, eV per cell: -16.3
Excess energy over the best structure of this formula in the dataset, meV/atom: 258
Crystal system: cubic

Lattice parameters (Å, degrees): 4.100 4.100 4.100 60.00 60.00 60.00
Fractional coordinates of all 4 atoms:
Al 0.000 0.000 0.000
Cu 0.250 0.250 0.250
Cu 0.750 0.750 0.750
O 0.500 0.500 0.500

---

[2]
Crystalline AlCuO3 at its relaxed geometry, computed with PBE.

## Properties
E_form (uncorrected), eV per atom: -1.6006
Total magnetic moment, μB per cell: 4.0
VASP energy, eV per cell: -61.4
Crystal system: trigonal

Lattice parameters (Å, degrees): 5.293 5.293 5.293 55.49 55.49 55.49
Fractional coordinates of all 10 atoms:
Al 0.150 0.150 0.150
Al 0.850 0.850 0.850
Cu 0.351 0.351 0.351
Cu 0.649 0.649 0.649
O 0.054 0.765 0.445
O 0.235 0.555 0.946
O 0.445 0.054 0.765
O 0.555 0.946 0.235
O 0.765 0.445 0.054
O 0.946 0.235 0.555

---

[3]
Crystalline AlCuO2 at its relaxed geometry, computed with PBE.

## Properties
E_form (uncorrected), eV per atom: -2.0678
Total magnetic moment, μB per cell: 0.0
VASP energy, eV per cell: -52.1
Crystal system: hexagonal

Lattice parameters (Å, degrees): 2.877 2.877 11.398 90.00 90.00 120.00
Fractional coordinates of all 8 atoms:
Al 0.000 0.000 0.000
Al 0.000 0.000 0.500
Cu 0.333 0.667 0.250
Cu 0.667 0.333 0.750
O 0.333 0.667 0.085
O 0.333 0.667 0.415
O 0.667 0.333 0.585
O 0.667 0.333 0.915

---

[4]
Crystalline AlCu3O6 at its relaxed geometry, computed with PBE.

## Properties
E_form (uncorrected), eV per atom: -0.8709
Total magnetic moment, μB per cell: 0.9
VASP energy, eV per cell: -109.0
Excess energy over the best structure of this formula in the dataset, meV/atom: 64
Crystal system: orthorhombic

Lattice parameters (Å, degrees): 8.161 8.161 10.304 90.00 90.00 158.10
Fractional coordinates of all 20 atoms:
Al 0.241 0.759 0.500
Al 0.759 0.241 0.000
Cu 0.090 0.910 0.117
Cu 0.234 0.766 0.777
Cu 0.418 0.582 0.158
Cu 0.582 0.418 0.658
Cu 0.766 0.234 0.277
Cu 0.910 0.090 0.617
O 0.014 0.986 0.689
O 0.159 0.841 0.634
O 0.205 0.795 0.093
O 0.307 0.693 0.349
O 0.309 0.691 0.912
O 0.428 0.572 0.542
O 0.572 0.428 0.042
O 0.691 0.309 0.412
O 0.693 0.307 0.849
O 0.795 0.205 0.593
O 0.841 0.159 0.134
O 0.986 0.014 0.189

---

[5]
Crystalline AlCu2O4 at its relaxed geometry, computed with PBE.

## Properties
E_form (uncorrected), eV per atom: -1.2578
Total magnetic moment, μB per cell: 6.0
VASP energy, eV per cell: -81.1
Excess energy over the best structure of this formula in the dataset, meV/atom: 0
Crystal system: cubic

Lattice parameters (Å, degrees): 5.837 5.837 5.837 60.00 60.00 60.00
Fractional coordinates of all 14 atoms:
Al 0.125 0.125 0.125
Al 0.875 0.875 0.875
Cu 0.000 0.500 0.500
Cu 0.500 0.000 0.500
Cu 0.500 0.500 0.000
Cu 0.500 0.500 0.500
O 0.252 0.252 0.252
O 0.252 0.252 0.745
O 0.252 0.745 0.252
O 0.255 0.748 0.748
O 0.745 0.252 0.252
O 0.748 0.255 0.748
O 0.748 0.748 0.255
O 0.748 0.748 0.748

---

[6]
Crystalline Al3CuO at its relaxed geometry, computed with PBE.

## Properties
E_form (uncorrected), eV per atom: -0.2971
Total magnetic moment, μB per cell: 0.0
VASP energy, eV per cell: -21.8
Crystal system: cubic

Lattice parameters (Å, degrees): 4.067 4.067 4.067 90.00 90.00 90.00
Fractional coordinates of all 5 atoms:
Al 0.000 0.000 0.500
Al 0.000 0.500 0.000
Al 0.500 0.000 0.000
Cu 0.500 0.500 0.500
O 0.000 0.000 0.000